[1]
! Pm5Nd2SmMg PBE-GGA relaxed; values from VASP
! Electronic total energy ... -4.313 eV/atom
! Volume ... 34.04 A^3/atom
! Magnetization ... 0.000 μB per cell
&SYSTEM
  ibrav = 0, nat = 18, ntyp = 4
/
ATOMIC_SPECIES
Pm 145.00 Pm.upf
Nd 144.24 Nd.upf
Sm 150.36 Sm.upf
Mg 24.30 Mg.upf
CELL_PARAMETERS angstrom
-3.1199 0.9853 -4.5232
9.6488 -2.1478 -3.6783
-2.5351 -10.4755 -0.5332
ATOMIC_POSITIONS angstrom
Pm 6.1402 -1.3494 -4.5292
Pm -0.1869 -8.6966 -5.2103
Pm 6.1627 -9.5922 -6.3402
Pm 2.8808 -8.3564 -3.8073
Pm 5.0179 -6.4429 -8.3095
Pm -0.9217 -5.2280 -3.9480
Pm 3.8751 -4.2041 -3.5887
Pm -2.2084 -2.2088 -2.4028
Pm 1.3337 -2.3693 -4.8810
Pm 0.2008 -0.1335 -0.1676
Nd 2.6453 -9.1466 -7.2619
Nd 0.0396 -7.9083 -1.7500
Nd 1.1026 -3.5073 -1.5245
Nd 4.1134 -3.0713 -6.9512
Sm 1.9903 -5.8248 -6.0866
Sm 3.2277 -0.7543 -2.3906
Mg -0.0458 0.1058 -3.3903
Mg 5.2716 -6.6528 -5.0853

***

[2]
! ZnSbCl2 PBE-GGA relaxed; values from VASP
! E above lowest polymorph ... 0.1330 eV per atom
! Uncorrected formation energy ... -40.1 kJ per mole of atoms
! Electronic total energy ... -2.688 eV/atom
! Volume ... 31.14 A^3/atom
! Magnetization ... 0.000 μB per cell
&SYSTEM
  ibrav = 0, nat = 4, ntyp = 3
/
ATOMIC_SPECIES
Sb 121.76 Sb.upf
Zn 65.41 Zn.upf
Cl 35.45 Cl.upf
CELL_PARAMETERS angstrom
-0.4053 -3.3129 -1.0238
3.0937 1.6148 0.0948
1.6092 -3.7600 11.5294
ATOMIC_POSITIONS angstrom
Sb 1.7465 -1.7891 2.4178
Zn 2.5511 -3.6691 8.1826
Cl 1.4222 -3.3231 10.1896
Cl 0.9916 -2.3170 7.1046

***

[3]
! Ca2YIr PBE-GGA relaxed; values from VASP
! E above lowest polymorph ... 0.0000 eV per atom
! Electronic total energy ... -5.150 eV/atom
! Volume ... 29.55 A^3/atom
! Magnetization ... 0.000 μB per cell
&SYSTEM
  ibrav = 0, nat = 4, ntyp = 3
/
ATOMIC_SPECIES
Y 88.91 Y.upf
Ca 40.08 Ca.upf
Ir 192.22 Ir.upf
CELL_PARAMETERS angstrom
3.4940 0.0000 0.0000
0.0000 3.5077 -0.0105
0.0000 3.5494 9.6329
ATOMIC_POSITIONS angstrom
Y 1.7470 5.2864 6.4297
Ca 0.0000 3.5529 9.5446
Ca 1.7470 1.7687 3.1328
Ir 0.0000 3.5271 4.9593

***

[4]
! InPb2Au PBE-GGA relaxed; values from VASP
! Electronic total energy ... -3.391 eV/atom
! Volume ... 26.75 A^3/atom
! Magnetization ... 0.000 μB per cell
&SYSTEM
  ibrav = 0, nat = 4, ntyp = 3
/
ATOMIC_SPECIES
Pb 207.20 Pb.upf
Au 196.97 Au.upf
In 114.82 In.upf
CELL_PARAMETERS angstrom
6.3665 0.0464 0.0685
5.3911 3.3868 0.0685
2.2870 0.6678 5.0476
ATOMIC_POSITIONS angstrom
Pb 2.3593 0.6889 5.0017
Pb 3.2480 0.9484 1.4531
Au 6.9102 2.0178 2.6098
In 10.8364 3.1642 3.7600

***

[5]
! Mg3TaPd4 PBE-GGA relaxed; values from VASP
! Electronic total energy ... -5.277 eV/atom
! Volume ... 16.11 A^3/atom
! Magnetization ... 0.000 μB per cell
&SYSTEM
  ibrav = 0, nat = 8, ntyp = 3
/
ATOMIC_SPECIES
Mg 24.30 Mg.upf
Pd 106.42 Pd.upf
Ta 180.95 Ta.upf
CELL_PARAMETERS angstrom
-1.1536 1.6029 -2.2341
0.3323 -2.3237 -1.8388
-13.2694 -4.6689 3.5021
ATOMIC_POSITIONS angstrom
Mg -3.7900 -1.5494 -1.1446
Mg -7.0453 -2.6949 -0.2854
Mg -10.3007 -3.8403 0.5737
Pd -11.5396 -4.0603 3.0456
Pd -1.7298 -0.6086 0.4565
Pd -5.0082 -1.7622 1.3218
Pd -8.2612 -2.9068 2.1803
Ta -0.4107 -0.3604 -2.0365

***

[6]
! Er6TmCo2 PBE-GGA relaxed; values from VASP
! Electronic total energy ... -5.207 eV/atom
! Volume ... 25.45 A^3/atom
! Magnetization ... 0.000 μB per cell
&SYSTEM
  ibrav = 0, nat = 18, ntyp = 3
/
ATOMIC_SPECIES
Er 167.26 Er.upf
Tm 168.93 Tm.upf
Co 58.93 Co.upf
CELL_PARAMETERS angstrom
-0.8144 -2.8852 -7.8648
-0.9711 -6.3955 5.3849
-5.8372 5.7605 1.8935
ATOMIC_POSITIONS angstrom
Er -5.3863 -2.6278 1.5834
Er -2.2364 -0.8923 -2.1699
Er -2.5471 -3.8551 4.1322
Er -5.0756 0.3350 -4.7187
Er -2.0868 -1.0634 -5.5702
Er -5.5360 -2.4567 4.9838
Er -2.0326 -2.1300 1.2386
Er -5.5902 -1.3901 -1.8250
Er -0.8853 -3.9944 -3.6625
Er -6.7375 0.4743 3.0761
Er -4.2672 0.7047 0.4352
Er -3.3556 -4.2248 -1.0216
Tm -3.4042 -0.3175 3.6392
Tm 0.0000 0.0000 0.0000
Co -4.1015 1.3653 -2.1564
Co -3.5212 -4.8855 1.5700
Co -1.2489 -6.4912 -1.7345
Co -0.5367 -2.7895 -0.7454

***

[7]
! SrB2IrRu PBE-GGA relaxed; values from VASP
! Electronic total energy ... -7.095 eV/atom
! Volume ... 17.01 A^3/atom
! Magnetization ... 0.000 μB per cell
&SYSTEM
  ibrav = 0, nat = 5, ntyp = 4
/
ATOMIC_SPECIES
Sr 87.62 Sr.upf
B 10.81 B.upf
Ir 192.22 Ir.upf
Ru 101.07 Ru.upf
CELL_PARAMETERS angstrom
-0.4982 3.1225 -2.4854
-2.7588 -2.0793 -2.0593
-2.1410 1.3735 5.4089
ATOMIC_POSITIONS angstrom
Sr 0.0000 0.0000 0.0000
B -3.0555 1.2390 -1.0849
B -2.3425 1.1777 1.9492
Ir -3.2642 -0.0921 0.5387
Ru -2.1339 2.5088 0.3256

***

[8]
! ThPaAgOs PBE-GGA relaxed; values from VASP
! Electronic total energy ... -7.744 eV/atom
! Volume ... 22.87 A^3/atom
! Magnetization ... 0.002 μB per cell
&SYSTEM
  ibrav = 0, nat = 4, ntyp = 4
/
ATOMIC_SPECIES
Pa 231.04 Pa.upf
Os 190.23 Os.upf
Ag 107.87 Ag.upf
Th 232.04 Th.upf
CELL_PARAMETERS angstrom
-4.5575 2.0849 0.6773
-1.9663 0.3256 4.6480
-0.4091 4.5044 2.2627
ATOMIC_POSITIONS angstrom
Pa -3.4665 3.4574 3.7940
Os -5.1997 5.1862 5.6910
Ag -1.7332 1.7287 1.8970
Th 0.0000 0.0000 0.0000

***

[9]
! GePN2 PBE-GGA relaxed; values from VASP
! E above lowest polymorph ... 1.5208 eV per atom
! Uncorrected formation energy ... 156.5 kJ per mole of atoms
! Electronic total energy ... -5.048 eV/atom
! Volume ... 10.35 A^3/atom
! Magnetization ... 0.000 μB per cell
&SYSTEM
  ibrav = 0, nat = 4, ntyp = 3
/
ATOMIC_SPECIES
P 30.97 P.upf
Ge 72.64 Ge.upf
N 14.01 N.upf
CELL_PARAMETERS angstrom
2.1085 -2.9255 1.4410
-1.3329 -2.0531 3.0148
-1.1645 -3.6691 -0.5124
ATOMIC_POSITIONS angstrom
P 0.0000 0.0000 0.0000
Ge -0.1945 -4.3238 1.9717
N -0.0972 -2.1619 0.9859
N -0.2917 -6.4858 2.9576

***

[10]
! Ce2TmIn4 PBE-GGA relaxed; values from VASP
! E above lowest polymorph ... 0.0000 eV per atom
! Electronic total energy ... -4.137 eV/atom
! Volume ... 29.17 A^3/atom
! Magnetization ... 2.813 μB per cell
&SYSTEM
  ibrav = 0, nat = 7, ntyp = 3
/
ATOMIC_SPECIES
Tm 168.93 Tm.upf
Ce 140.12 Ce.upf
In 114.82 In.upf
CELL_PARAMETERS angstrom
4.8887 0.0000 -1.5584
-0.4973 4.8628 -1.5600
0.0372 0.0388 8.5639
ATOMIC_POSITIONS angstrom
Tm 0.0000 0.0000 0.0000
Ce 3.3155 3.6695 1.9537
Ce 1.1131 1.2321 3.4918
In 1.5008 4.3691 4.7080
In 4.1940 1.9350 4.7096
In 2.9278 0.5325 0.7375
In 0.2346 2.9666 0.7359

***

[11]
! Tb9Dy11Th4 PBE-GGA relaxed; values from VASP
! Electronic total energy ... -4.975 eV/atom
! Volume ... 32.61 A^3/atom
! Magnetization ... 0.000 μB per cell
&SYSTEM
  ibrav = 0, nat = 24, ntyp = 3
/
ATOMIC_SPECIES
Tb 158.93 Tb.upf
Dy 162.50 Dy.upf
Th 232.04 Th.upf
CELL_PARAMETERS angstrom
-0.7953 1.1271 -3.4208
5.7806 -12.8637 -5.5822
-14.8105 -1.0840 3.0861
ATOMIC_POSITIONS angstrom
Tb 0.8733 -7.7764 -4.7537
Tb -10.6984 -5.0442 -1.1632
Tb -8.8617 -2.2072 -0.6555
Tb -0.9634 -10.6134 -5.2614
Tb -9.6875 -10.5886 -3.2250
Tb -0.1376 -2.2321 -2.6919
Tb -6.6666 -12.3168 -4.4967
Tb -3.1586 -0.5039 -1.4202
Tb -4.9126 -6.4103 -2.9584
Dy -10.7062 -8.6426 -0.3585
Dy 1.6763 -5.3051 -2.1376
Dy -3.2471 -12.9097 -3.4986
Dy -5.7828 -1.0379 1.0024
Dy -1.7036 -8.5822 -2.4316
Dy -7.3263 -5.3655 -0.0646
Dy 2.5081 -10.9915 -4.2045
Dy -11.5380 -2.9562 1.7084
Dy 0.0000 0.0000 0.0000
Dy -6.4677 -9.9901 -1.7879
Dy -2.5622 -3.9576 -0.7083
Th -8.3738 -7.3883 -2.4760
Th -1.4513 -5.4323 -3.4409
Th -4.2464 -9.7495 -4.2135
Th -5.5788 -3.0711 -1.7034

***

[12]
! TcOsRh PBE-GGA relaxed; values from VASP
! E above lowest polymorph ... 0.1253 eV per atom
! Electronic total energy ... -9.634 eV/atom
! Volume ... 14.40 A^3/atom
! Magnetization ... 0.000 μB per cell
&SYSTEM
  ibrav = 0, nat = 3, ntyp = 3
/
ATOMIC_SPECIES
Os 190.23 Os.upf
Rh 102.91 Rh.upf
Tc 98.00 Tc.upf
CELL_PARAMETERS angstrom
6.0376 -0.0164 0.0172
5.4189 2.6623 0.0233
0.6186 0.1370 2.6752
ATOMIC_POSITIONS angstrom
Os 0.6809 0.1514 2.6601
Rh 4.2176 0.9701 1.8003
Tc 7.7953 1.7983 0.9306

***

- Look up the electronic total energy of the sixth one.
  -5.207 eV/atom

***

- Which of these has the highest electronic total energy?
  ZnSbCl2

***

- Look up the volume of the eighth one.
  22.87 A^3/atom

***

- magnetization of number 1 (Pm5Nd2SmMg)?
  0.000 μB per cell